This record from the Alexandria database describes an optimized crystal structure of MgAg3. The functional is GGA-PBE.

Cell and atoms, written as POSCAR:
```
MgAg3
1.0
4.6512 2.6854 0.9734
-4.6512 2.6854 0.9734
0.0000 -5.3708 0.9734
Mg Ag
1 3
direct
0.0000 0.0000 0.0000
0.0000 0.5000 0.5000
0.5000 0.0000 0.5000
0.5000 0.5000 0.0000
```

Results
E above lowest polymorph = 37 kJ/mol of formula units
total moment = 0.0 μB per formula unit
calculated volume = 73.0 Å³/cell
theoretical density = 7.919 g cm⁻³
ΔE_f = -0.068 eV per atom